Record 1
A relaxed structure of LiEuCu2. Source: the Alexandria database, functional PBE-GGA.

Cell lengths 3.3745, 3.3745, 6.5217 Å; angles 90.00, 90.00, 90.00 degrees
Each line ends with the local moment (μB).
Sites, in units of the cell vectors:
Eu 0.5000 0.5000 0.5000  6.85
Cu 0.0000 0.0000 0.8097  0.00
Cu 0.0000 0.0000 0.1903  0.00
Li 0.5000 0.5000 0.0000  0.01

Properties
Fermi-level density of states	2.353	states/eV/cell
M_tot	7.2	Bohr magnetons per cell
E above lowest polymorph	0.27	eV per formula unit
formation enthalpy at 0 K	0.0	eV per formula unit

Record 2
A relaxed structure of KZrTa2. Source: the Alexandria database, functional PBE-GGA.

Cell lengths 4.8086, 4.8086, 8.1574 Å; angles 87.68, 87.68, 36.13 degrees
Sites, in units of the cell vectors:
K 0.2512 0.2512 0.2353
Ta 0.0127 0.0127 0.9069
Ta 0.7490 0.7490 0.7657
Zr 0.4871 0.4871 0.5921

Properties
Fermi-level density of states	3.430	states/eV/cell
M_tot	0.0	Bohr magnetons per cell
E above lowest polymorph	0.99	eV per formula unit
formation enthalpy at 0 K	3.1	eV per formula unit